Entry from Alexandria via LeMat-Bulk: a relaxed LiCrPO2 crystal (GGA+U).

Unit cell a=3.6700 b=3.6700 c=4.5103 alpha=90.00 beta=90.00 gamma=90.00
With the nearest neighbours (Å) after each atom.
Space group P4/mmm (No. 123)
Inequivalent atoms, fractional coordinates:
Li: 0.0000 0.0000 0.0000 x1  4 O 1.83
Cr: 0.5000 0.5000 0.5000 x1  4 P 2.60
P: 0.0000 0.0000 0.5000 x1  2 Li 2.26
O: 0.0000 0.5000 0.0000 x2  2 Li 1.83

Properties
total DFT energy (no corrections) = -4.80 eV per atom
polymorph energy (0 for the lowest one) = 3.622 eV per formula unit
crystal system = tetragonal
calculated volume = 12.149 Å³/atom